Record 1
Entry from OQMD: Nb4FeC2S after structural relaxation (PBE-GGA).

Energy = -9.343 eV per atom
Size of the total moment = 1.53 μB/f.u.

abc: 3.187 3.187 12.453
angles: 90.00 90.00 120.00
Positions (direct):
Nb: 0.000 0.000 0.145
Nb: 0.000 0.000 0.855
Nb: 0.667 0.333 0.343
Nb: 0.667 0.333 0.657
Fe: 0.000 0.000 0.500
C: 0.333 0.667 0.246
C: 0.333 0.667 0.754
S: 0.667 0.333 0.000

***

Record 2
Entry from OQMD: Ga4Ni4Hg3 after structural relaxation (PBE-GGA).

Energy = -3.273 eV per atom
Size of the total moment = 0.00 μB/f.u.

abc: 6.303 6.303 6.303
angles: 109.47 109.47 109.47
Positions (direct):
Ga: 0.000 0.000 0.609
Ga: 0.000 0.609 0.000
Ga: 0.391 0.391 0.391
Ga: 0.609 0.000 0.000
Ni: 0.000 0.000 0.245
Ni: 0.000 0.245 0.000
Ni: 0.245 0.000 0.000
Ni: 0.755 0.755 0.755
Hg: 0.000 0.500 0.500
Hg: 0.500 0.000 0.500
Hg: 0.500 0.500 0.000

***

Record 3
Entry from OQMD: CdFeSiTc after structural relaxation (PBE-GGA).

ΔE to the lowest computed polymorph = 0.0 meV per atom
Energy = -5.971 eV per atom
Size of the total moment = 2.13 μB/f.u.

abc: 4.319 4.319 4.319
angles: 60.00 60.00 60.00
Positions (direct):
Cd: 0.000 0.000 0.000
Fe: 0.750 0.750 0.750
Si: 0.500 0.500 0.500
Tc: 0.250 0.250 0.250

***

Record 4
Entry from OQMD: ErTmSn4 after structural relaxation (PBE-GGA).

Energy = -4.725 eV per atom
Size of the total moment = 0.00 μB/f.u.

abc: 4.333 8.409 8.409
angles: 30.37 90.00 90.00
Positions (direct):
Er: 0.000 0.000 0.000
Tm: 0.500 0.197 0.197
Sn: 0.000 0.350 0.350
Sn: 0.000 0.663 0.663
Sn: 0.500 0.534 0.534
Sn: 0.500 0.846 0.846

***

Record 5
Entry from OQMD: DyTmCSe after structural relaxation (PBE-GGA).

Energy = -6.614 eV per atom
Size of the total moment = 0.00 μB/f.u.

abc: 3.729 3.729 13.165
angles: 90.00 90.00 120.00
Positions (direct):
Dy: 0.000 0.000 0.152
Dy: 0.000 0.000 0.848
Tm: 0.667 0.333 0.352
Tm: 0.667 0.333 0.648
C: 0.333 0.667 0.253
C: 0.333 0.667 0.747
Se: 0.000 0.000 0.500
Se: 0.667 0.333 0.000

***

Record 6
Entry from OQMD: PrCoIr after structural relaxation (PBE-GGA).

Energy = -6.647 eV per atom
Size of the total moment = 2.59 μB/f.u.
ΔH_f (0 K) = 0.26 eV per atom

abc: 4.547 4.547 4.547
angles: 60.00 60.00 60.00
Positions (direct):
Pr: 0.000 0.000 0.000
Co: 0.500 0.500 0.500
Ir: 0.750 0.750 0.750

***

- Which value of energy does entry 4 give?
  -4.725 eV per atom